Density functional theory data (PBE) for a relaxed structure of Sr2OsBr.

The crystal system is tetragonal. The value obtained for the energy relative to the elements, uncorrected is 0.224 eV/atom. As for the theoretical density: 6.50 g/cm3. The density of states at the Fermi level comes out at 1.124 states/eV per atom. The energy relative to the lowest polymorph listed for this composition comes out at 0.481 eV per atom. The calculation puts the energy at -3.842 eV per atom.

a b c (Å): 6.669 6.669 6.669
angles (deg): 141.56 141.56 55.49
Positions (direct):
Br 0.500 0.500 0.000
Os 0.750 0.250 0.500
Sr 0.000 0.000 0.000
Sr 0.250 0.750 0.500


Density functional theory data (PBE) for a relaxed structure of TbErNiRh.

The crystal system is cubic. As for the theoretical density: 10.28 g/cm3. The density of states at the Fermi level comes out at 0.482 states/eV per atom. The energy relative to the lowest polymorph listed for this composition comes out at 0.022 eV per atom. Its formation energy from the elements is -640 meV per atom. The calculation puts the energy at -6.221 eV per atom.

a b c (Å): 4.812 4.812 4.812
angles (deg): 60.00 60.00 60.00
Positions (direct):
Er 0.500 0.500 0.500
Tb 0.000 0.000 0.000
Ni 0.250 0.250 0.250
Rh 0.750 0.750 0.750


Density functional theory data (PBE) for a relaxed structure of Sc3BeFe.

The crystal system is cubic. As for the theoretical density: 3.24 g/cm3. The density of states at the Fermi level comes out at 1.611 states/eV per atom. The energy relative to the lowest polymorph listed for this composition comes out at 0.378 eV per atom. Its formation energy from the elements is 742 meV per atom. The calculation puts the energy at -5.494 eV per atom.

a b c (Å): 4.676 4.676 4.676
angles (deg): 90.00 90.00 90.00
Positions (direct):
Sc 0.000 0.500 0.000
Sc 0.500 0.000 0.000
Fe 0.500 0.500 0.500
Sc 0.000 0.000 0.500
Be 0.000 0.000 0.000